Record 1
Computed, not measured: a relaxed KInPbBr4 crystal at the GGA-PBE level of DFT.

Results
Crystal system   tetragonal

Cell lengths 5.930, 5.930, 16.770 Å; angles 90.00, 90.00, 90.00 degrees
Atoms (fractional coordinates):
K (0.000, 0.000, 0.000)
K (0.500, 0.500, 0.500)
In (0.000, 0.000, 0.723)
In (0.500, 0.500, 0.223)
Pb (0.000, 0.000, 0.367)
Pb (0.500, 0.500, 0.867)
Br (0.000, 0.000, 0.194)
Br (0.000, 0.000, 0.556)
Br (0.000, 0.500, 0.386)
Br (0.000, 0.500, 0.886)
Br (0.500, 0.000, 0.386)
Br (0.500, 0.000, 0.886)
Br (0.500, 0.500, 0.056)
Br (0.500, 0.500, 0.694)

---

Record 2
Computed, not measured: a relaxed KInPb2Br8 crystal at the GGA-PBE level of DFT.

Results
Crystal system   triclinic

Cell lengths 6.786, 7.140, 9.148 Å; angles 90.00, 89.95, 88.82 degrees
Atoms (fractional coordinates):
K (0.000, 0.000, 0.000)
In (0.000, 0.000, 0.500)
Pb (0.500, 0.500, 0.255)
Pb (0.500, 0.500, 0.745)
Br (0.228, 0.320, 0.500)
Br (0.236, 0.853, 0.712)
Br (0.237, 0.854, 0.287)
Br (0.270, 0.365, 0.000)
Br (0.730, 0.635, 0.000)
Br (0.763, 0.146, 0.713)
Br (0.764, 0.147, 0.288)
Br (0.772, 0.680, 0.500)

---

Record 3
Computed, not measured: a relaxed K2InPbBr6 crystal at the GGA-PBE level of DFT.

Results
Crystal system   monoclinic

Cell lengths 8.299, 8.299, 8.301 Å; angles 119.91, 119.91, 90.12 degrees
Atoms (fractional coordinates):
K (0.250, 0.750, 0.000)
K (0.750, 0.250, 0.000)
In (0.421, 0.421, 0.500)
Pb (0.922, 0.922, 0.500)
Br (0.159, 0.159, 0.009)
Br (0.160, 0.650, 0.500)
Br (0.171, 0.171, 0.498)
Br (0.650, 0.160, 0.500)
Br (0.650, 0.650, 0.990)
Br (0.661, 0.661, 0.502)

---

Record 4
Computed, not measured: a relaxed KIn2Pb2Br7 crystal at the GGA-PBE level of DFT.

Results
Crystal system   orthorhombic

Cell lengths 13.741, 13.741, 13.741 Å; angles 158.34, 37.75, 149.46 degrees
Atoms (fractional coordinates):
K (0.000, 0.000, 0.000)
In (0.210, 0.509, 0.701)
In (0.808, 0.509, 0.299)
Pb (0.444, 0.054, 0.390)
Pb (0.663, 0.054, 0.610)
Br (0.090, 0.671, 0.420)
Br (0.217, 0.940, 0.277)
Br (0.251, 0.671, 0.580)
Br (0.635, 0.760, 0.875)
Br (0.663, 0.940, 0.723)
Br (0.687, 0.187, 0.500)
Br (0.885, 0.760, 0.125)

---

Record 5
Computed, not measured: a relaxed KIn2PbBr5 crystal at the GGA-PBE level of DFT.

Results
Crystal system   orthorhombic

Cell lengths 9.879, 9.879, 16.737 Å; angles 90.00, 90.00, 153.45 degrees
Atoms (fractional coordinates):
K (0.053, 0.947, 0.500)
K (0.947, 0.053, 0.000)
In (0.360, 0.640, 0.317)
In (0.434, 0.566, 0.717)
In (0.566, 0.434, 0.217)
In (0.640, 0.360, 0.817)
Pb (0.255, 0.745, 0.095)
Pb (0.745, 0.255, 0.595)
Br (0.023, 0.977, 0.829)
Br (0.100, 0.900, 0.085)
Br (0.224, 0.776, 0.474)
Br (0.252, 0.748, 0.723)
Br (0.413, 0.587, 0.131)
Br (0.587, 0.413, 0.631)
Br (0.748, 0.252, 0.223)
Br (0.776, 0.224, 0.974)
Br (0.900, 0.100, 0.585)
Br (0.977, 0.023, 0.329)

---

Record 6
Computed, not measured: a relaxed K2In3PbBr6 crystal at the GGA-PBE level of DFT.

Results
Crystal system   monoclinic

Cell lengths 7.877, 7.877, 8.725 Å; angles 98.86, 98.86, 120.81 degrees
Atoms (fractional coordinates):
K (0.164, 0.836, 0.000)
K (0.836, 0.164, 0.000)
In (0.000, 0.000, 0.500)
In (0.327, 0.673, 0.500)
In (0.673, 0.327, 0.500)
Pb (0.500, 0.500, 0.000)
Br (0.109, 0.424, 0.773)
Br (0.268, 0.268, 0.239)
Br (0.424, 0.109, 0.773)
Br (0.576, 0.891, 0.227)
Br (0.732, 0.732, 0.761)
Br (0.891, 0.576, 0.227)

---

Record 7
Computed, not measured: a relaxed KInPbBr6 crystal at the GGA-PBE level of DFT.

Results
Crystal system   trigonal

Cell lengths 7.550, 7.550, 14.112 Å; angles 90.00, 90.00, 120.00 degrees
Atoms (fractional coordinates):
K (0.000, 0.000, 0.000)
K (0.000, 0.000, 0.500)
In (0.333, 0.667, 0.250)
In (0.667, 0.333, 0.750)
Pb (0.333, 0.667, 0.750)
Pb (0.667, 0.333, 0.250)
Br (0.033, 0.383, 0.136)
Br (0.033, 0.650, 0.364)
Br (0.350, 0.383, 0.364)
Br (0.350, 0.967, 0.136)
Br (0.383, 0.033, 0.636)
Br (0.383, 0.350, 0.864)
Br (0.617, 0.650, 0.136)
Br (0.617, 0.967, 0.364)
Br (0.650, 0.033, 0.864)
Br (0.650, 0.617, 0.636)
Br (0.967, 0.350, 0.636)
Br (0.967, 0.617, 0.864)

---

Record 8
Computed, not measured: a relaxed K3In3PbBr8 crystal at the GGA-PBE level of DFT.

Results
Crystal system   trigonal

Cell lengths 9.488, 9.488, 9.488 Å; angles 59.59, 59.59, 59.59 degrees
Atoms (fractional coordinates):
K (0.000, 0.500, 0.500)
K (0.500, 0.000, 0.500)
K (0.500, 0.500, 0.000)
In (0.000, 0.000, 0.500)
In (0.000, 0.500, 0.000)
In (0.500, 0.000, 0.000)
Pb (0.500, 0.500, 0.500)
Br (0.251, 0.251, 0.251)
Br (0.270, 0.270, 0.728)
Br (0.270, 0.728, 0.270)
Br (0.272, 0.730, 0.730)
Br (0.728, 0.270, 0.270)
Br (0.730, 0.272, 0.730)
Br (0.730, 0.730, 0.272)
Br (0.749, 0.749, 0.749)

---

Listing raw formation energy for the structures above in their given order: -1.02; -0.99; -1.14; -0.93; -0.96; -0.92; -1.06; -1.15 eV per atom.
Listing energy for the structures above in their given order: -0.2246; -0.2235; -0.2209; -0.2261; -0.2232; -0.2158; -0.2218; -0.2244 Ry/atom.